(1)
A plane-wave DFT calculation with PBE-GGA was carried out for a relaxed structure of Nd2PaBi.

Unit cell a=3.3724 b=3.3724 c=37.0252 alpha=90.00 beta=90.00 gamma=120.00
Closest atoms and distances in Å follow each position.
Space group R-3m (No. 166, hexagonal axes)
Unique sites:
Nd 0.0000 0.0000 0.0890 [6 per cell]  1 Pa 3.29, 6 Nd 3.37, 3 Bi 3.47
Pa 0.0000 0.0000 0.0000 [3 per cell]  2 Nd 3.29, 6 Pa 3.37
Bi 0.0000 0.0000 0.5000 [3 per cell]  6 Bi 3.37, 6 Nd 3.47

## Properties
* ΔE_f: 0.15 eV per atom
* E_tot: -66.9 eV/cell



(2)
A plane-wave DFT calculation with PBE-GGA was carried out for a relaxed structure of ReTeRh2.

Unit cell a=2.9215 b=2.9215 c=27.0640 alpha=90.00 beta=90.00 gamma=120.00
Closest atoms and distances in Å follow each position.
Space group R-3m (No. 166, hexagonal axes)
Unique sites:
Re 0.0000 0.0000 0.0000 [3 per cell]  6 Rh 2.70, 6 Re 2.92
Te 0.0000 0.0000 0.5000 [3 per cell]  6 Te 2.92, 6 Rh 2.94
Rh 0.0000 0.0000 0.2554 [6 per cell]  3 Re 2.70, 6 Rh 2.92, 3 Te 2.94

## Properties
* E_tot: -87.3 eV/cell



(3)
A plane-wave DFT calculation with PBE-GGA was carried out for a relaxed structure of K2MnSi.

Unit cell a=3.2931 b=3.2931 c=35.7051 alpha=90.00 beta=90.00 gamma=120.00
Closest atoms and distances in Å follow each position.
Space group R-3m (No. 166, hexagonal axes)
Unique sites:
K 0.0000 0.0000 0.2447 [6 per cell]  6 K 3.29, 3 Si 3.37
Mn 0.0000 0.0000 0.0000 [3 per cell]  6 Mn 3.29
Si 0.0000 0.0000 0.5000 [3 per cell]  6 Si 3.29, 6 K 3.37

## Properties
* E above lowest polymorph: 2.682 eV per formula unit
* E_tot: -39.2 eV/cell



(4)
A plane-wave DFT calculation with PBE-GGA was carried out for a relaxed structure of CoMo2Cl.

Unit cell a=2.7435 b=3.2638 c=6.9022 alpha=90.00 beta=90.00 gamma=90.00
Closest atoms and distances in Å follow each position.
Space group Pmmm (No. 47)
Unique sites:
Co 0.0000 0.0000 0.0000 [1 per cell]  8 Mo 2.56, 2 Co 2.74
Mo 0.5000 0.5000 0.2045 [2 per cell]  4 Co 2.56, 2 Cl 2.61, 3 Mo 2.74-2.82
Cl 0.5000 0.0000 0.5000 [1 per cell]  4 Mo 2.61, 2 Cl 2.74

## Properties
* E above lowest polymorph: 0.216 eV per formula unit
* E_tot: -29.3 eV/cell



(5)
A plane-wave DFT calculation with PBE-GGA was carried out for a relaxed structure of SrY2PaAs4.

Unit cell a=5.9183 b=5.9183 c=11.8282 alpha=90.00 beta=90.00 gamma=90.00
Closest atoms and distances in Å follow each position.
Space group I-4m2 (No. 119)
Unique sites:
Sr 0.0000 0.0000 0.0000 [2 per cell]  6 As 2.96-3.04
Y 0.0000 0.0000 0.5000 [2 per cell]  6 As 2.87-2.96
Y 0.0000 0.5000 0.2500 [2 per cell]  6 As 2.96-3.07
Pa 0.0000 0.5000 0.7500 [2 per cell]  6 As 2.85-2.96
As 0.0000 0.0000 0.2574 [4 per cell]  3 Y 2.87-2.96, 2 Pa 2.96, 1 Sr 3.04
As 0.0000 0.5000 0.5094 [4 per cell]  1 Pa 2.85, 2 Sr 2.96, 3 Y 2.96-3.07

## Properties
* ΔE_f: -1.30 eV per atom
* E_tot: -106.3 eV/cell



(6)
A plane-wave DFT calculation with PBE-GGA was carried out for a relaxed structure of Tb6PrTh.

Unit cell a=6.5803 b=6.7654 c=6.8886 alpha=61.96 beta=77.61 gamma=89.73
Closest atoms and distances in Å follow each position.
Space group P-1 (No. 2)
Unique sites:
Tb 0.2265 0.4064 0.0239 [2 per cell]  4 Tb 3.25-3.40, 1 Pr 3.43, 1 Th 3.64
Tb 0.2457 0.9590 0.4978 [2 per cell]  5 Tb 3.26-3.64, 1 Th 3.50, 1 Pr 3.52
Tb 0.2668 0.9263 0.9810 [2 per cell]  6 Tb 3.26-3.64, 1 Th 3.44
Pr 0.5000 0.5000 0.5000 [1 per cell]  2 Th 3.29, 4 Tb 3.43-3.52
Th 0.0000 0.5000 0.5000 [1 per cell]  2 Pr 3.29, 6 Tb 3.44-3.64

## Properties
* ΔE_f: 0.22 eV per atom
* E above lowest polymorph: 1.560 eV per formula unit
* E_tot: -38.2 eV/cell



(7)
A plane-wave DFT calculation with PBE-GGA was carried out for a relaxed structure of LaScZn.

Unit cell a=6.8488 b=6.8488 c=6.8488 alpha=90.00 beta=90.00 gamma=90.00
Closest atoms and distances in Å follow each position.
Space group F-43m (No. 216)
Unique sites:
La 0.0000 0.0000 0.0000 [4 per cell]  4 Sc 2.97
Sc 0.2500 0.2500 0.2500 [4 per cell]  4 La 2.97, 4 Zn 2.97
Zn 0.0000 0.0000 0.5000 [4 per cell]  4 Sc 2.97

## Properties
* ΔE_f: 0.34 eV per atom
* E above lowest polymorph: 1.634 eV per formula unit
* E_tot: -46.0 eV/cell



(8)
A plane-wave DFT calculation with PBE-GGA was carried out for a relaxed structure of GdTmAgGe.

Unit cell a=7.1706 b=7.1706 c=7.1706 alpha=90.00 beta=90.00 gamma=90.00
Closest atoms and distances in Å follow each position.
Space group F-43m (No. 216)
Unique sites:
Gd 0.0000 0.0000 0.0000 [4 per cell]  4 Ge 3.10, 4 Ag 3.10
Tm 0.0000 0.0000 0.5000 [4 per cell]  4 Ge 3.10, 4 Ag 3.10
Ag 0.2500 0.2500 0.2500 [4 per cell]  4 Gd 3.10, 4 Tm 3.10
Ge 0.2500 0.2500 0.7500 [4 per cell]  4 Gd 3.10, 4 Tm 3.10

## Properties
* ΔE_f: -0.53 eV per atom
* E_tot: -112.6 eV/cell



(9)
A plane-wave DFT calculation with PBE-GGA was carried out for a relaxed structure of Cr5Cu.

Unit cell a=9.6711 b=2.3428 c=6.4245 alpha=90.00 beta=103.73 gamma=90.00
Closest atoms and distances in Å follow each position.
Space group Cm (No. 8)
Unique sites:
Cr 0.0000 0.0000 0.0000 [2 per cell]  3 Cr 2.34-2.53, 3 Cu 2.53-2.60
Cr 0.0690 0.0000 0.6433 [2 per cell]  4 Cr 2.34-2.53, 2 Cu 2.61
Cr 0.1693 0.5000 0.3306 [2 per cell]  7 Cr 2.34-2.62, 1 Cu 2.53
Cr 0.3268 0.0000 0.6701 [2 per cell]  6 Cr 2.34-2.62, 2 Cu 2.60
Cr 0.4044 0.0000 0.3077 [2 per cell]  6 Cr 2.34-2.61
Cu 0.2345 0.5000 0.9719 [2 per cell]  2 Cu 2.34, 8 Cr 2.53-2.61

## Properties
* ΔE_f: 0.31 eV per atom
* E above lowest polymorph: 0.681 eV per formula unit
* E_tot: -100.8 eV/cell



(10)
A plane-wave DFT calculation with PBE-GGA was carried out for a relaxed structure of CsZn2SnCl6.

Unit cell a=14.9058 b=14.0828 c=6.3826 alpha=90.00 beta=92.22 gamma=90.00
Closest atoms and distances in Å follow each position.
Space group C2/c (No. 15)
Unique sites:
Cs 0.0000 0.1304 0.2500 [4 per cell]  8 Cl 3.63-3.88
Zn 0.2426 0.4283 0.1430 [8 per cell]  4 Cl 2.22-2.37
Sn 0.0000 0.4850 0.7500 [4 per cell]  2 Cl 2.77
Cl 0.1147 0.3598 0.2619 [8 per cell]  1 Zn 2.29
Cl 0.1186 0.1152 0.7646 [8 per cell]  1 Zn 2.22
Cl 0.2203 0.4173 0.7772 [8 per cell]  2 Zn 2.35-2.37

## Properties
* E_tot: -122.2 eV/cell



(11)
A plane-wave DFT calculation with PBE-GGA was carried out for a relaxed structure of Pm2Si4Ir3Rh.

Unit cell a=4.1841 b=4.1841 c=9.8657 alpha=90.00 beta=90.00 gamma=90.00
Closest atoms and distances in Å follow each position.
Space group P-4m2 (No. 115)
Unique sites:
Pm 0.0000 0.5000 0.2442 [2 per cell]  6 Ir 3.18-3.28, 8 Si 3.19-3.21, 2 Rh 3.28
Si 0.0000 0.0000 0.0000 [1 per cell]  4 Ir 2.44
Si 0.0000 0.5000 0.6295 [2 per cell]  3 Ir 2.41-2.45, 2 Rh 2.45
Si 0.5000 0.5000 0.0000 [1 per cell]  4 Ir 2.44
Ir 0.0000 0.5000 0.8733 [2 per cell]  5 Si 2.41-2.44
Ir 0.5000 0.5000 0.5000 [1 per cell]  4 Si 2.45
Rh 0.0000 0.0000 0.5000 [1 per cell]  4 Si 2.45

## Properties
* E_tot: -75.7 eV/cell



(12)
A plane-wave DFT calculation with PBE-GGA was carried out for a relaxed structure of CeNd5Ir4.

Unit cell a=17.9941 b=4.2118 c=7.9340 alpha=90.00 beta=107.03 gamma=90.00
Closest atoms and distances in Å follow each position.
Space group C2/m (No. 12)
Unique sites:
Ce 0.0000 0.0000 0.0000 [2 per cell]  6 Ir 2.87-2.94
Nd 0.0000 0.0000 0.5000 [2 per cell]  4 Ir 2.91
Nd 0.1640 0.5000 0.3495 [4 per cell]  3 Ir 2.81-2.82
Nd 0.1668 0.5000 0.8669 [4 per cell]  4 Ir 2.87-2.90
Ir 0.0002 0.5000 0.2464 [4 per cell]  4 Nd 2.82-2.91, 2 Ce 2.87
Ir 0.1707 0.0000 0.1196 [4 per cell]  5 Nd 2.81-2.90, 1 Ce 2.94

## Properties
* ΔE_f: -0.54 eV per atom
* E_tot: -141.3 eV/cell



Q: Which of these has the lowest E_tot?
A: CeNd5Ir4



Q: Look up the E_tot of the second one.
A: -87.3 eV/cell